Material: BePt2Au
Method: DFT, PBE
State: optimized geometry

Properties
E_form: -0.40 eV/atom
Size of the total moment: 0.00 μB/cell

Unit cell a=2.813 b=2.813 c=7.202 alpha=90.00 beta=90.00 gamma=90.00
Space group P4/mmm (No. 123)
One atom of each set of equivalent atoms:
Be (0.000, 0.000, 0.000) (multiplicity 1)
Pt (0.500, 0.500, 0.197) (multiplicity 2)
Au (0.000, 0.000, 0.500) (multiplicity 1)



Material: Be3PtAu
Method: DFT, PBE
State: optimized geometry

Properties
Offset from the most stable computed form: 0 meV per atom
E_form: 0.23 eV/atom
Size of the total moment: 0.00 μB/cell

Unit cell a=4.246 b=4.246 c=4.246 alpha=90.00 beta=90.00 gamma=90.00
Space group Pm-3m (No. 221)
One atom of each set of equivalent atoms:
Be (0.000, 0.000, 0.500) (multiplicity 3)
Pt (0.000, 0.000, 0.000) (multiplicity 1)
Au (0.500, 0.500, 0.500) (multiplicity 1)



Material: Sm2Be4Pt3Au
Method: DFT, PBE
State: optimized geometry

Properties
E_form: -0.75 eV/atom
Size of the total moment: 0.00 μB/cell

Unit cell a=4.128 b=4.128 c=9.470 alpha=90.00 beta=90.00 gamma=90.00
Space group P-4m2 (No. 115)
One atom of each set of equivalent atoms:
Sm (0.000, 0.500, 0.245) (multiplicity 2)
Be (0.000, 0.000, 0.000) (multiplicity 1)
Be (0.000, 0.500, 0.628) (multiplicity 2)
Be (0.500, 0.500, 0.000) (multiplicity 1)
Pt (0.000, 0.500, 0.880) (multiplicity 2)
Pt (0.500, 0.500, 0.500) (multiplicity 1)
Au (0.000, 0.000, 0.500) (multiplicity 1)



Material: Sm2Be3Pt12Au
Method: DFT, PBE
State: optimized geometry

Properties
E_form: -0.32 eV/atom
Size of the total moment: 0.00 μB/cell

Unit cell a=8.0557 b=8.0557 c=17.8471 alpha=90.00 beta=90.00 gamma=120.00
Space group R-3m (No. 166, hexagonal axes)
One atom of each set of equivalent atoms:
Sm (0.0000, 0.0000, 0.1056) (multiplicity 6)
Be (0.0000, 0.5000, 0.0000) (multiplicity 9)
Pt (0.0238, 0.5119, 0.8740) (multiplicity 18)
Pt (0.0319, 0.5159, 0.3665) (multiplicity 18)
Au (0.0000, 0.0000, 0.5000) (multiplicity 3)